# VP2SeS

A relaxed structure of VP2SeS (PBE, Alexandria).

Properties
symmetry: No. 123
D(E_F): 7.34 states/eV per cell
formation energy without anion corrections: 1.28 eV/atom

Lattice parameters (Å, degrees): 4.674 4.674 4.634 90.00 90.00 90.00
Positions (direct):
P: 0.000 0.500 0.000
P: 0.500 0.000 0.000
S: 0.000 0.000 0.500
Se: 0.000 0.000 0.000
V: 0.500 0.500 0.500

# Hg2GeSe

A relaxed structure of Hg2GeSe (PBE, Alexandria).

Properties
symmetry: No. 4
D(E_F): 0.52 states/eV per cell
formation energy without anion corrections: -0.11 eV/atom

Lattice parameters (Å, degrees): 3.916 4.206 13.743 90.00 89.85 90.00
Positions (direct):
Hg: 0.753 0.809 0.808
Hg: 0.247 0.309 0.192
Hg: 0.749 0.813 0.073
Hg: 0.251 0.313 0.927
Ge: 0.251 0.402 0.408
Ge: 0.749 0.902 0.592
Se: 0.249 0.322 0.597
Se: 0.751 0.822 0.403

# GaNi14Ir

A relaxed structure of GaNi14Ir (PBE, Alexandria).

Properties
symmetry: No. 38
D(E_F): 25.77 states/eV per cell
formation energy from the elements: -0.041 eV per atom

Lattice parameters (Å, degrees): 5.056 5.056 8.234 90.00 90.00 120.27
Positions (direct):
Ga: 0.540 0.460 0.500
Ni: 0.209 0.791 0.000
Ni: 0.709 0.291 0.000
Ni: 0.039 0.457 0.500
Ni: 0.209 0.292 0.000
Ni: 0.543 0.961 0.500
Ni: 0.708 0.791 0.000
Ni: 0.376 0.124 0.755
Ni: 0.376 0.124 0.245
Ni: 0.876 0.624 0.755
Ni: 0.876 0.624 0.245
Ni: 0.374 0.626 0.754
Ni: 0.374 0.626 0.246
Ni: 0.874 0.126 0.754
Ni: 0.874 0.126 0.246
Ir: 0.041 0.959 0.500

# TcPRh2

A relaxed structure of TcPRh2 (PBE, Alexandria).

Properties
symmetry: No. 123
D(E_F): 4.69 states/eV per cell
formation energy from the elements: 0.154 eV per atom

Lattice parameters (Å, degrees): 4.555 4.555 2.735 90.00 90.00 90.00
Positions (direct):
Tc: 0.500 0.500 0.500
P: 0.000 0.000 0.500
Rh: 0.500 0.000 0.000
Rh: 0.000 0.500 0.000

# Cu2SiTc

A relaxed structure of Cu2SiTc (PBE, Alexandria).

Properties
symmetry: No. 6
D(E_F): 2.29 states/eV per cell
formation energy without anion corrections: -0.06 eV/atom

Lattice parameters (Å, degrees): 3.862 2.659 5.188 75.26 90.00 90.00
Positions (direct):
Cu: 0.000 0.045 0.033
Cu: 0.500 0.446 0.231
Si: 0.000 0.300 0.525
Tc: 0.500 0.709 0.710

# BaSr2Fe

A relaxed structure of BaSr2Fe (PBE, Alexandria).

Properties
symmetry: No. 123
D(E_F): 9.43 states/eV per cell
formation energy from the elements: 0.626 eV per atom

Lattice parameters (Å, degrees): 5.387 5.387 5.574 90.00 90.00 90.00
Positions (direct):
Ba: 0.500 0.000 0.500
Fe: 0.000 0.500 0.500
Sr: 0.000 0.000 0.000
Sr: 0.500 0.500 0.000

# Rb2YTl

A relaxed structure of Rb2YTl (PBE, Alexandria).

Properties
symmetry: No. 122
D(E_F): 9.46 states/eV per cell
formation energy from the elements: 0.425 eV per atom

Lattice parameters (Å, degrees): 12.960 12.960 9.637 47.75 47.75 90.00
Positions (direct):
Y: 0.500 0.500 0.000
Y: 0.250 0.750 0.500
Tl: 0.000 0.000 0.000
Tl: 0.750 0.250 0.500
Rb: 0.751 0.125 0.250
Rb: 0.999 0.625 0.250
Rb: 0.375 0.249 0.750
Rb: 0.875 0.001 0.750

# Mg2HgH

A relaxed structure of Mg2HgH (PBE, Alexandria).

Properties
symmetry: No. 166
D(E_F): 1.23 states/eV per cell
electronic total energy: -1.7490 eV per atom

Lattice parameters (Å, degrees): 3.380 3.380 7.074 76.18 76.18 60.00
Positions (direct):
H: 0.000 0.000 0.000
Mg: 0.272 0.272 0.184
Mg: 0.728 0.728 0.816
Hg: 0.500 0.500 0.500

# Na2MnAs3Pd4

A relaxed structure of Na2MnAs3Pd4 (PBE, Alexandria).

Properties
symmetry: No. 115
D(E_F): 5.10 states/eV per cell
formation energy from the elements: -0.349 eV per atom

Lattice parameters (Å, degrees): 4.140 4.140 10.995 90.00 90.00 90.00
Positions (direct):
Na: 0.500 0.000 0.243
Na: 0.000 0.500 0.757
Mn: 0.500 0.500 0.500
As: 0.000 0.000 0.500
As: 0.500 0.000 0.865
As: 0.000 0.500 0.135
Pd: 0.500 0.500 0.000
Pd: 0.000 0.000 0.000
Pd: 0.500 0.000 0.644
Pd: 0.000 0.500 0.356

# La2CoAs

A relaxed structure of La2CoAs (PBE, Alexandria).

Properties
symmetry: No. 38
D(E_F): 2.66 states/eV per cell
formation energy from the elements: -0.722 eV per atom

Lattice parameters (Å, degrees): 4.239 4.169 5.925 69.39 90.00 90.00
Positions (direct):
As: 0.000 0.692 0.491
Co: 0.500 0.558 0.761
La: 0.000 0.987 0.900
La: 0.500 0.263 0.348

# KCdN3

A relaxed structure of KCdN3 (PBE, Alexandria).

Properties
symmetry: No. 221
D(E_F): 2.20 states/eV per cell
formation energy without anion corrections: 2.81 eV/atom

Lattice parameters (Å, degrees): 4.717 4.717 4.717 90.00 90.00 90.00
Positions (direct):
K: 0.000 0.000 0.000
N: 0.000 0.500 0.000
N: 0.000 0.000 0.500
N: 0.500 0.000 0.000
Cd: 0.500 0.500 0.500

# Dy4TlIn2

A relaxed structure of Dy4TlIn2 (PBE, Alexandria).

Properties
symmetry: No. 166
D(E_F): 7.63 states/eV per cell
formation energy from the elements: -0.267 eV per atom

Lattice parameters (Å, degrees): 5.258 5.258 9.117 73.24 73.24 60.00
Positions (direct):
Tl: 0.000 0.000 0.000
In: 0.751 0.751 0.746
In: 0.249 0.249 0.254
Dy: 0.872 0.872 0.385
Dy: 0.128 0.128 0.615
Dy: 0.619 0.619 0.142
Dy: 0.381 0.381 0.858

# B5C7

A relaxed structure of B5C7 (PBE, Alexandria).

Properties
symmetry: No. 8
D(E_F): 1.89 states/eV per cell
formation energy from the elements: 0.393 eV per atom

Lattice parameters (Å, degrees): 4.683 4.683 4.447 98.50 98.50 120.97
Positions (direct):
B: 0.161 0.844 0.511
B: 0.347 0.347 0.122
B: 0.332 0.723 0.977
B: 0.844 0.161 0.511
B: 0.723 0.332 0.977
C: 0.043 0.722 0.129
C: 0.506 0.506 0.507
C: 0.218 0.516 0.627
C: 0.722 0.043 0.129
C: 0.516 0.218 0.627
C: 0.981 0.981 0.997
C: 0.857 0.857 0.635

# Sc3VRu

A relaxed structure of Sc3VRu (PBE, Alexandria).

Properties
symmetry: No. 221
D(E_F): 5.88 states/eV per cell
formation energy from the elements: 0.300 eV per atom

Lattice parameters (Å, degrees): 4.956 4.956 4.956 90.00 90.00 90.00
Positions (direct):
Sc: 0.000 0.500 0.000
Sc: 0.000 0.000 0.500
Sc: 0.500 0.000 0.000
Ru: 0.000 0.000 0.000
V: 0.500 0.500 0.500

# Ti2GeBr

A relaxed structure of Ti2GeBr (PBE, Alexandria).

Properties
symmetry: No. 225
D(E_F): 3.47 states/eV per cell
formation energy without anion corrections: -0.18 eV/atom

Lattice parameters (Å, degrees): 4.598 4.598 4.598 60.00 60.00 60.00
Positions (direct):
Ge: 0.000 0.000 0.000
Br: 0.500 0.500 0.500
Ti: 0.250 0.250 0.250
Ti: 0.750 0.750 0.750

# Ag2PW

A relaxed structure of Ag2PW (PBE, Alexandria).

Properties
symmetry: No. 99
D(E_F): 1.69 states/eV per cell
formation energy from the elements: 0.202 eV per atom

Lattice parameters (Å, degrees): 3.069 3.069 7.042 90.00 90.00 90.00
Positions (direct):
Ag: 0.000 0.000 0.989
Ag: 0.500 0.500 0.267
P: 0.000 0.000 0.540
W: 0.500 0.500 0.704

# Cs2In3Br8

A relaxed structure of Cs2In3Br8 (PBE, Alexandria).

Properties
symmetry: No. 12
D(E_F): 2.53 states/eV per cell
formation energy without anion corrections: -1.07 eV/atom

Lattice parameters (Å, degrees): 7.638 8.232 9.272 96.52 90.00 117.64
Positions (direct):
Cs: 0.694 0.389 0.629
Cs: 0.306 0.611 0.371
In: 0.000 0.000 0.500
In: 0.215 0.000 0.000
In: 0.785 0.000 0.000
Br: 0.375 0.751 0.014
Br: 0.625 0.249 0.986
Br: 0.839 0.679 0.324
Br: 0.161 0.321 0.676
Br: 0.817 0.133 0.326
Br: 0.316 0.133 0.326
Br: 0.684 0.867 0.674
Br: 0.183 0.867 0.674

# BaScMnSe4

A relaxed structure of BaScMnSe4 (PBE, Alexandria).

Properties
symmetry: No. 11
D(E_F): 2.70 states/eV per cell
formation energy without anion corrections: -1.25 eV/atom

Lattice parameters (Å, degrees): 6.633 6.567 8.908 90.00 108.47 90.00
Positions (direct):
Ba: 0.762 0.750 0.947
Ba: 0.238 0.250 0.053
Sc: 0.762 0.750 0.444
Sc: 0.238 0.250 0.556
Mn: 0.237 0.750 0.332
Mn: 0.763 0.250 0.668
Se: 0.025 0.511 0.705
Se: 0.975 0.011 0.295
Se: 0.975 0.489 0.295
Se: 0.025 0.989 0.705
Se: 0.426 0.750 0.143
Se: 0.574 0.250 0.857
Se: 0.463 0.750 0.594
Se: 0.537 0.250 0.406

# Rb2CoAsH

A relaxed structure of Rb2CoAsH (PBE, Alexandria).

Properties
symmetry: No. 123
D(E_F): 8.65 states/eV per cell
electronic total energy: -2.6860 eV per atom

Lattice parameters (Å, degrees): 6.821 3.469 6.821 90.00 90.00 90.00
Positions (direct):
H: 0.000 0.500 0.000
As: 0.000 0.000 0.000
Co: 0.500 0.500 0.500
Rb: 0.000 0.000 0.500
Rb: 0.500 0.000 0.000